First-principles (SCAN) data for a PBEsol-optimized structure of Co2NiTe, as listed in Alexandria.

a = 3.604 Å, b = 3.702 Å, c = 3.702 Å
α = 90.00°, β = 90.00°, γ = 90.00°
Sites, in units of the cell vectors:
Te1 0.500 0.000 0.000
Co1 0.000 0.500 0.000
Co2 0.000 0.000 0.500
Ni1 0.500 0.500 0.500

Results
- raw formation energy (kJ/mol of formula units) = 76
- crystal system = tetragonal

First-principles (SCAN) data for a PBEsol-optimized structure of CoNi2Te, as listed in Alexandria.

a = 3.668 Å, b = 3.668 Å, c = 4.557 Å
α = 113.73°, β = 113.73°, γ = 90.00°
Sites, in units of the cell vectors:
Te1 0.000 0.000 0.000
Ni1 0.750 0.250 0.500
Ni2 0.250 0.750 0.500
Co1 0.500 0.500 0.000

Results
- raw formation energy (kJ/mol of formula units) = 64
- crystal system = tetragonal

First-principles (SCAN) data for a PBEsol-optimized structure of CoNiTe, as listed in Alexandria.

a = 3.994 Å, b = 3.994 Å, c = 3.994 Å
α = 60.00°, β = 60.00°, γ = 60.00°
Sites, in units of the cell vectors:
Te1 0.500 0.500 0.500
Co1 0.250 0.250 0.250
Ni1 0.000 0.000 0.000

Results
- raw formation energy (kJ/mol of formula units) = 38
- crystal system = cubic

First-principles (SCAN) data for a PBEsol-optimized structure of CoNi2Te, as listed in Alexandria.

a = 3.592 Å, b = 3.600 Å, c = 4.210 Å
α = 90.00°, β = 90.00°, γ = 92.75°
Sites, in units of the cell vectors:
Ni1 0.269 0.231 0.000
Co1 0.500 0.000 0.500
Te1 0.000 0.500 0.500
Ni2 0.731 0.769 0.000

Results
- raw formation energy (kJ/mol of formula units) = 132
- crystal system = orthorhombic

First-principles (SCAN) data for a PBEsol-optimized structure of CoNi2Te, as listed in Alexandria.

a = 3.235 Å, b = 3.235 Å, c = 5.071 Å
α = 90.00°, β = 90.00°, γ = 90.00°
Sites, in units of the cell vectors:
Ni1 0.000 0.000 0.732
Ni2 0.000 0.000 0.268
Co1 0.500 0.500 0.500
Te1 0.500 0.500 0.000

Results
- raw formation energy (kJ/mol of formula units) = 93
- crystal system = tetragonal

First-principles (SCAN) data for a PBEsol-optimized structure of Ti2Co2Ni, as listed in Alexandria.

a = 4.385 Å, b = 4.693 Å, c = 4.385 Å
α = 62.15°, β = 90.00°, γ = 117.85°
Sites, in units of the cell vectors:
Ti1 0.250 0.500 0.250
Co1 0.348 0.696 0.652
Co2 0.652 0.304 0.348
Ni1 0.000 0.000 0.000
Ti2 0.750 0.500 0.750

Results
- crystal system = tetragonal
- formation energy (kJ per mole of atoms) = 17

First-principles (SCAN) data for a PBEsol-optimized structure of TlCoNi2, as listed in Alexandria.

a = 2.831 Å, b = 2.831 Å, c = 8.136 Å
α = 79.98°, β = 79.98°, γ = 60.00°
Sites, in units of the cell vectors:
Ni1 0.999 0.999 0.002
Tl1 0.499 0.499 0.503
Co1 0.260 0.260 0.221
Ni2 0.742 0.742 0.775

Results
- crystal system = trigonal
- formation energy (kJ per mole of atoms) = 60
- polymorph energy (0 for the lowest one) (meV per atom) = 309

First-principles (SCAN) data for a PBEsol-optimized structure of TlCoNi, as listed in Alexandria.

a = 2.930 Å, b = 2.930 Å, c = 6.027 Å
α = 90.00°, β = 90.00°, γ = 120.00°
Sites, in units of the cell vectors:
Ni1 0.333 0.667 0.693
Tl1 0.667 0.333 0.336
Co1 0.000 0.000 0.972

Results
- crystal system = trigonal
- formation energy (kJ per mole of atoms) = 60

Q: Number 5 is which compound?
A: CoNi2Te

Q: Number 3 is which compound?
A: CoNiTe